[1]
Material: PrSm6Cd6
Method: DFT, GGA-PBE
State: relaxed

Properties
Total moment   0.014 μB per formula unit
E_form   -0.1709 eV/atom
SG   No. 191
Total energy   -40.8 eV per formula unit

a = 6.126 Å, b = 6.126 Å, c = 11.492 Å
α = 90.00°, β = 90.00°, γ = 120.00°
Element x y z (fractional)
Pr  0.000  0.000  0.000
Sm  0.000  0.000  0.348
Sm  0.000  0.000  0.652
Sm  0.333  0.667  0.000
Sm  0.333  0.667  0.500
Sm  0.667  0.333  0.000
Sm  0.667  0.333  0.500
Cd  0.000  0.500  0.240
Cd  0.000  0.500  0.760
Cd  0.500  0.000  0.240
Cd  0.500  0.000  0.760
Cd  0.500  0.500  0.240
Cd  0.500  0.500  0.760

=====

[2]
Material: PrSmCd6
Method: DFT, GGA-PBE
State: relaxed

Properties
Total moment   0.000 μB per formula unit
E_form   -0.3047 eV/atom
SG   No. 38
Total energy   -17.4 eV per formula unit

a = 4.985 Å, b = 7.021 Å, c = 11.460 Å
α = 90.00°, β = 90.00°, γ = 90.00°
Element x y z (fractional)
Pr  0.000  0.000  0.000
Pr  0.000  0.500  0.500
Sm  0.500  0.000  0.300
Sm  0.500  0.500  0.800
Cd  0.000  0.000  0.481
Cd  0.000  0.224  0.738
Cd  0.000  0.276  0.238
Cd  0.000  0.500  0.981
Cd  0.000  0.724  0.238
Cd  0.000  0.776  0.738
Cd  0.500  0.000  0.816
Cd  0.500  0.221  0.563
Cd  0.500  0.279  0.063
Cd  0.500  0.500  0.316
Cd  0.500  0.721  0.063
Cd  0.500  0.779  0.563

=====

[3]
Material: Pr5SmCd3
Method: DFT, GGA-PBE
State: relaxed

Properties
Total moment   0.000 μB per formula unit
E_form   -0.1686 eV/atom
SG   No. 193
Total energy   -32.9 eV per formula unit

a = 9.544 Å, b = 9.544 Å, c = 7.121 Å
α = 90.00°, β = 90.00°, γ = 120.00°
Element x y z (fractional)
Pr  0.000  0.335  0.250
Pr  0.000  0.665  0.750
Pr  0.333  0.667  0.000
Pr  0.333  0.667  0.500
Pr  0.335  0.000  0.250
Pr  0.335  0.335  0.750
Pr  0.665  0.000  0.750
Pr  0.665  0.665  0.250
Pr  0.667  0.333  0.000
Pr  0.667  0.333  0.500
Sm  0.000  0.000  0.000
Sm  0.000  0.000  0.500
Cd  0.000  0.329  0.750
Cd  0.000  0.671  0.250
Cd  0.329  0.000  0.750
Cd  0.329  0.329  0.250
Cd  0.671  0.000  0.250
Cd  0.671  0.671  0.750

=====

[4]
Material: PrSmCd
Method: DFT, GGA-PBE
State: relaxed

Properties
Distance to the lowest polymorph of the same formula   0.00 eV per formula unit
Total moment   0.126 μB per formula unit
E_form   -0.1987 eV/atom
SG   No. 107
Total energy   -11.0 eV per formula unit

a = 3.752 Å, b = 3.752 Å, c = 13.140 Å
α = 90.00°, β = 90.00°, γ = 90.00°
Element x y z (fractional)
Pr  0.000  0.000  0.000
Pr  0.500  0.500  0.500
Sm  0.000  0.000  0.309
Sm  0.500  0.500  0.809
Cd  0.000  0.000  0.660
Cd  0.500  0.500  0.160

=====

[5]
Material: Pr3Sm3Cd
Method: DFT, GGA-PBE
State: relaxed

Properties
Distance to the lowest polymorph of the same formula   1.21 eV per formula unit
Total moment   0.000 μB per formula unit
E_form   0.1369 eV/atom
SG   No. 148
Total energy   -28.5 eV per formula unit

a = 8.933 Å, b = 8.933 Å, c = 8.933 Å
α = 58.11°, β = 58.11°, γ = 58.11°
Element x y z (fractional)
Pr  0.104  0.782  0.282
Pr  0.218  0.718  0.896
Pr  0.282  0.104  0.782
Pr  0.718  0.896  0.218
Pr  0.782  0.282  0.104
Pr  0.896  0.218  0.718
Sm  0.044  0.570  0.745
Sm  0.255  0.956  0.430
Sm  0.430  0.255  0.956
Sm  0.570  0.745  0.044
Sm  0.745  0.044  0.570
Sm  0.956  0.430  0.255
Cd  0.332  0.332  0.332
Cd  0.668  0.668  0.668

=====

[6]
Material: PrSm2Cd3
Method: DFT, GGA-PBE
State: relaxed

Properties
Total moment   1.210 μB per formula unit
E_form   -0.3168 eV/atom
SG   No. 65
Total energy   -18.9 eV per formula unit

a = 8.552 Å, b = 8.552 Å, c = 7.730 Å
α = 90.00°, β = 90.00°, γ = 143.16°
Element x y z (fractional)
Pr  0.166  0.834  0.000
Pr  0.834  0.166  0.000
Sm  0.168  0.832  0.500
Sm  0.500  0.500  0.000
Sm  0.500  0.500  0.500
Sm  0.832  0.168  0.500
Cd  0.000  0.000  0.256
Cd  0.000  0.000  0.744
Cd  0.335  0.665  0.256
Cd  0.335  0.665  0.744
Cd  0.665  0.335  0.256
Cd  0.665  0.335  0.744

=====

[7]
Material: Pr6SmCd
Method: DFT, GGA-PBE
State: relaxed

Properties
Distance to the lowest polymorph of the same formula   0.07 eV per formula unit
Total moment   0.000 μB per formula unit
E_form   0.0220 eV/atom
SG   No. 2
Total energy   -34.1 eV per formula unit

a = 6.539 Å, b = 6.540 Å, c = 6.548 Å
α = 95.69°, β = 95.70°, γ = 95.77°
Element x y z (fractional)
Pr  0.047  0.262  0.049
Pr  0.262  0.548  0.547
Pr  0.452  0.952  0.238
Pr  0.548  0.048  0.762
Pr  0.738  0.452  0.453
Pr  0.953  0.738  0.951
Sm  0.000  0.000  0.500
Cd  0.500  0.500  0.000

=====

[8]
Material: Pr6SmCd2
Method: DFT, GGA-PBE
State: relaxed

Properties
Distance to the lowest polymorph of the same formula   0.56 eV per formula unit
Total moment   0.000 μB per formula unit
E_form   -0.0717 eV/atom
SG   No. 15
Total energy   -35.9 eV per formula unit

a = 9.916 Å, b = 9.916 Å, c = 6.283 Å
α = 95.02°, β = 95.02°, γ = 73.22°
Element x y z (fractional)
Pr  0.067  0.818  0.990
Pr  0.148  0.402  0.164
Pr  0.182  0.933  0.510
Pr  0.233  0.532  0.688
Pr  0.402  0.148  0.664
Pr  0.468  0.767  0.812
Pr  0.532  0.233  0.188
Pr  0.598  0.852  0.336
Pr  0.767  0.468  0.312
Pr  0.818  0.067  0.490
Pr  0.852  0.598  0.836
Pr  0.933  0.182  0.010
Sm  0.395  0.605  0.250
Sm  0.605  0.395  0.750
Cd  0.040  0.288  0.593
Cd  0.288  0.040  0.093
Cd  0.712  0.960  0.907
Cd  0.960  0.712  0.407

=====

[9]
Material: PrSmCd4
Method: DFT, GGA-PBE
State: relaxed

Properties
Distance to the lowest polymorph of the same formula   0.00 eV per formula unit
Total moment   0.000 μB per formula unit
E_form   -0.3432 eV/atom
SG   No. 47
Total energy   -15.2 eV per formula unit

a = 3.432 Å, b = 5.099 Å, c = 8.814 Å
α = 90.00°, β = 90.00°, γ = 90.00°
Element x y z (fractional)
Pr  0.000  0.000  0.000
Sm  0.000  0.500  0.500
Cd  0.500  0.000  0.335
Cd  0.500  0.000  0.665
Cd  0.500  0.500  0.169
Cd  0.500  0.500  0.831

=====

[10]
Material: Pr3Sm2Cd4
Method: DFT, GGA-PBE
State: relaxed

Properties
Total moment   0.002 μB per formula unit
E_form   -0.1308 eV/atom
SG   No. 64
Total energy   -28.6 eV per formula unit

a = 10.387 Å, b = 10.387 Å, c = 8.279 Å
α = 90.00°, β = 90.00°, γ = 141.64°
Element x y z (fractional)
Pr  0.000  0.000  0.000
Pr  0.003  0.497  0.250
Pr  0.497  0.003  0.750
Pr  0.500  0.500  0.500
Pr  0.503  0.997  0.250
Pr  0.997  0.503  0.750
Sm  0.089  0.911  0.402
Sm  0.411  0.589  0.902
Sm  0.589  0.411  0.098
Sm  0.911  0.089  0.598
Cd  0.157  0.843  0.016
Cd  0.171  0.329  0.250
Cd  0.329  0.171  0.750
Cd  0.343  0.657  0.516
Cd  0.657  0.343  0.484
Cd  0.671  0.829  0.250
Cd  0.829  0.671  0.750
Cd  0.843  0.157  0.984

=====

[11]
Material: PrSm3Cd
Method: DFT, GGA-PBE
State: relaxed

Properties
Distance to the lowest polymorph of the same formula   0.81 eV per formula unit
Total moment   0.000 μB per formula unit
E_form   0.0548 eV/atom
SG   No. 63
Total energy   -19.6 eV per formula unit

a = 8.624 Å, b = 8.624 Å, c = 5.332 Å
α = 90.00°, β = 90.00°, γ = 120.64°
Element x y z (fractional)
Pr  0.089  0.911  0.750
Pr  0.911  0.089  0.250
Sm  0.146  0.449  0.750
Sm  0.448  0.552  0.250
Sm  0.449  0.146  0.250
Sm  0.551  0.854  0.750
Sm  0.552  0.448  0.750
Sm  0.854  0.551  0.250
Cd  0.252  0.748  0.250
Cd  0.748  0.252  0.750

=====

[12]
Material: Pr2Sm6Cd
Method: DFT, GGA-PBE
State: relaxed

Properties
Distance to the lowest polymorph of the same formula   0.07 eV per formula unit
Total moment   0.000 μB per formula unit
E_form   0.0015 eV/atom
SG   No. 58
Total energy   -38.8 eV per formula unit

a = 10.154 Å, b = 10.477 Å, c = 5.574 Å
α = 90.00°, β = 90.00°, γ = 90.00°
Element x y z (fractional)
Pr  0.197  0.239  0.000
Pr  0.303  0.739  0.500
Pr  0.697  0.261  0.500
Pr  0.803  0.761  0.000
Sm  0.022  0.317  0.500
Sm  0.136  0.890  0.000
Sm  0.182  0.565  0.000
Sm  0.318  0.065  0.500
Sm  0.364  0.390  0.500
Sm  0.478  0.817  0.000
Sm  0.522  0.183  0.000
Sm  0.636  0.610  0.500
Sm  0.682  0.935  0.500
Sm  0.818  0.435  0.000
Sm  0.864  0.110  0.000
Sm  0.978  0.683  0.500
Cd  0.000  0.000  0.500
Cd  0.500  0.500  0.000

=====

[13]
Material: Pr2SmCd4
Method: DFT, GGA-PBE
State: relaxed

Properties
Total moment   0.368 μB per formula unit
E_form   -0.1702 eV/atom
SG   No. 139
Total energy   -19.1 eV per formula unit

a = 5.438 Å, b = 5.438 Å, c = 14.368 Å
α = 90.00°, β = 90.00°, γ = 90.00°
Element x y z (fractional)
Pr  0.000  0.000  0.238
Pr  0.000  0.000  0.762
Pr  0.500  0.500  0.262
Pr  0.500  0.500  0.738
Sm  0.000  0.000  0.500
Sm  0.500  0.500  0.000
Cd  0.000  0.500  0.111
Cd  0.000  0.500  0.389
Cd  0.000  0.500  0.611
Cd  0.000  0.500  0.889
Cd  0.500  0.000  0.111
Cd  0.500  0.000  0.389
Cd  0.500  0.000  0.611
Cd  0.500  0.000  0.889

=====

[14]
Material: PrSm2Cd3
Method: DFT, GGA-PBE
State: relaxed

Properties
Total moment   1.130 μB per formula unit
E_form   -0.3163 eV/atom
SG   No. 123
Total energy   -18.9 eV per formula unit

a = 3.833 Å, b = 3.833 Å, c = 11.547 Å
α = 90.00°, β = 90.00°, γ = 90.00°
Element x y z (fractional)
Pr  0.000  0.000  0.000
Sm  0.000  0.000  0.336
Sm  0.000  0.000  0.664
Cd  0.500  0.500  0.174
Cd  0.500  0.500  0.500
Cd  0.500  0.500  0.826

=====

[15]
Material: PrSm8Cd2
Method: DFT, GGA-PBE
State: relaxed

Properties
Total moment   0.000 μB per formula unit
E_form   0.0232 eV/atom
SG   No. 12
Total energy   -44.1 eV per formula unit

a = 8.641 Å, b = 8.641 Å, c = 6.691 Å
α = 100.23°, β = 100.23°, γ = 46.73°
Element x y z (fractional)
Pr  0.000  0.000  0.000
Sm  0.165  0.636  0.584
Sm  0.209  0.209  0.822
Sm  0.364  0.835  0.416
Sm  0.413  0.413  0.092
Sm  0.587  0.587  0.908
Sm  0.636  0.165  0.584
Sm  0.791  0.791  0.178
Sm  0.835  0.364  0.416
Cd  0.244  0.244  0.301
Cd  0.756  0.756  0.699

=====

[16]
Material: Pr6SmCd2
Method: DFT, GGA-PBE
State: relaxed

Properties
Distance to the lowest polymorph of the same formula   0.00 eV per formula unit
Total moment   0.000 μB per formula unit
E_form   -0.1338 eV/atom
SG   No. 12
Total energy   -36.4 eV per formula unit

a = 6.824 Å, b = 6.824 Å, c = 12.386 Å
α = 107.91°, β = 107.91°, γ = 32.96°
Element x y z (fractional)
Pr  0.021  0.021  0.337
Pr  0.311  0.311  0.411
Pr  0.316  0.316  0.123
Pr  0.684  0.684  0.877
Pr  0.689  0.689  0.589
Pr  0.979  0.979  0.663
Sm  0.000  0.000  0.000
Cd  0.356  0.356  0.799
Cd  0.644  0.644  0.201

=====

[17]
Material: PrSm6Cd3
Method: DFT, GGA-PBE
State: relaxed

Properties
Total moment   0.000 μB per formula unit
E_form   -0.0907 eV/atom
SG   No. 36
Total energy   -36.7 eV per formula unit

a = 9.533 Å, b = 9.533 Å, c = 6.882 Å
α = 90.00°, β = 90.00°, γ = 95.59°
Element x y z (fractional)
Pr  0.201  0.799  0.500
Pr  0.799  0.201  0.000
Sm  0.061  0.487  0.164
Sm  0.190  0.245  0.496
Sm  0.197  0.803  0.982
Sm  0.245  0.190  0.996
Sm  0.424  0.576  0.283
Sm  0.487  0.061  0.664
Sm  0.513  0.939  0.164
Sm  0.576  0.424  0.783
Sm  0.755  0.810  0.496
Sm  0.803  0.197  0.482
Sm  0.810  0.755  0.996
Sm  0.939  0.513  0.664
Cd  0.002  0.998  0.242
Cd  0.264  0.507  0.779
Cd  0.493  0.736  0.779
Cd  0.507  0.264  0.279
Cd  0.736  0.493  0.279
Cd  0.998  0.002  0.742

=====

[18]
Material: Pr3SmCd6
Method: DFT, GGA-PBE
State: relaxed

Properties
Total moment   0.298 μB per formula unit
E_form   -0.2948 eV/atom
SG   No. 11
Total energy   -27.5 eV per formula unit

a = 9.519 Å, b = 5.273 Å, c = 11.319 Å
α = 90.00°, β = 105.30°, γ = 90.00°
Element x y z (fractional)
Pr  0.024  0.250  0.391
Pr  0.151  0.750  0.216
Pr  0.264  0.250  0.004
Pr  0.736  0.750  0.996
Pr  0.849  0.250  0.784
Pr  0.976  0.750  0.609
Sm  0.444  0.250  0.608
Sm  0.556  0.750  0.392
Cd  0.051  0.750  0.910
Cd  0.168  0.250  0.709
Cd  0.268  0.750  0.514
Cd  0.355  0.750  0.810
Cd  0.362  0.250  0.309
Cd  0.451  0.750  0.103
Cd  0.549  0.250  0.897
Cd  0.638  0.750  0.691
Cd  0.645  0.250  0.190
Cd  0.732  0.250  0.486
Cd  0.832  0.750  0.291
Cd  0.949  0.250  0.090

=====

[19]
Material: Pr6SmCd
Method: DFT, GGA-PBE
State: relaxed

Properties
Distance to the lowest polymorph of the same formula   0.00 eV per formula unit
Total moment   0.000 μB per formula unit
E_form   0.0135 eV/atom
SG   No. 69
Total energy   -34.2 eV per formula unit

a = 8.825 Å, b = 8.822 Å, c = 5.886 Å
α = 70.54°, β = 70.49°, γ = 38.97°
Element x y z (fractional)
Pr  0.113  0.113  0.387
Pr  0.247  0.247  0.753
Pr  0.387  0.387  0.113
Pr  0.613  0.613  0.887
Pr  0.753  0.753  0.247
Pr  0.887  0.887  0.613
Sm  0.000  0.000  0.000
Cd  0.500  0.500  0.500

=====

[20]
Material: Pr2Sm6Cd
Method: DFT, GGA-PBE
State: relaxed

Properties
Distance to the lowest polymorph of the same formula   0.00 eV per formula unit
Total moment   0.000 μB per formula unit
E_form   -0.0066 eV/atom
SG   No. 55
Total energy   -38.8 eV per formula unit

a = 6.615 Å, b = 16.120 Å, c = 5.663 Å
α = 90.00°, β = 90.00°, γ = 90.00°
Element x y z (fractional)
Pr  0.230  0.196  0.000
Pr  0.270  0.696  0.000
Pr  0.730  0.304  0.000
Pr  0.770  0.804  0.000
Sm  0.084  0.595  0.500
Sm  0.088  0.809  0.500
Sm  0.248  0.448  0.000
Sm  0.252  0.948  0.000
Sm  0.412  0.309  0.500
Sm  0.416  0.095  0.500
Sm  0.584  0.905  0.500
Sm  0.588  0.691  0.500
Sm  0.748  0.052  0.000
Sm  0.752  0.552  0.000
Sm  0.912  0.191  0.500
Sm  0.916  0.405  0.500
Cd  0.000  0.000  0.500
Cd  0.500  0.500  0.500